[1]
The following is a DFT calculation (PBE) of crystalline Lu3MnC at its relaxed geometry.

a = 4.7708 Å, b = 4.7708 Å, c = 4.7708 Å
α = 90.00°, β = 90.00°, γ = 90.00°
Closest atoms and distances in Å follow each position.
Sites, in units of the cell vectors:
Lu: 0.0000 0.0000 0.5000  2 C 2.39
Lu: 0.0000 0.5000 0.0000  2 C 2.39
Lu: 0.5000 0.0000 0.0000  2 C 2.39
Mn: 0.5000 0.5000 0.5000  12 Lu 3.37
C: 0.0000 0.0000 0.0000  6 Lu 2.39

Output
Formation enthalpy at 0 K = -25.9 meV/atom

[2]
The following is a DFT calculation (PBE) of crystalline LuMnC at its relaxed geometry.

a = 3.3866 Å, b = 3.3866 Å, c = 4.0074 Å
α = 90.00°, β = 90.00°, γ = 120.00°
Closest atoms and distances in Å follow each position.
Sites, in units of the cell vectors:
Mn: 0.6667 0.3333 0.4999  3 C 1.96
Lu: 0.0000 0.0000 0.9986  6 C 2.79-2.81, 6 Mn 2.80
C: 0.3333 0.6667 0.5015  3 Mn 1.96

Output
Formation enthalpy at 0 K = -31.0 meV/atom

[3]
The following is a DFT calculation (PBE) of crystalline Lu2Mn17C3 at its relaxed geometry.

a = 8.3290 Å, b = 8.4707 Å, c = 8.4707 Å
α = 120.00°, β = 90.00°, γ = 90.00°
Closest atoms and distances in Å follow each position.
Sites, in units of the cell vectors:
Mn: 0.4755 0.1718 0.3436  1 C 1.88
Mn: 0.5000 0.0000 0.5000  10 Mn 2.42-2.61
Mn: 0.9755 0.8282 0.6564  1 C 1.88
Mn: 0.0000 0.0000 0.5000  10 Mn 2.42-2.61
Mn: 0.5245 0.3436 0.1718  1 C 1.88
Mn: 0.7500 0.0587 0.3861  1 C 1.88
Mn: 0.0245 0.6564 0.8282  1 C 1.88
Mn: 0.3912 0.6667 0.3333  13 Mn 2.35-2.63
Mn: 0.7500 0.3274 0.9413  1 C 1.88
Mn: 0.0245 0.1718 0.3436  1 C 1.88
Mn: 0.2500 0.3861 0.3274  1 C 1.88
Mn: 0.7500 0.0587 0.6726  1 C 1.88
Mn: 0.2500 0.9413 0.3274  1 C 1.88
Mn: 0.9755 0.3436 0.1718  1 C 1.88
Mn: 0.5245 0.8282 0.6564  1 C 1.88
Mn: 0.7500 0.6139 0.9413  1 C 1.88
Mn: 0.4755 0.6564 0.8282  1 C 1.88
Mn: 0.2500 0.3861 0.0587  1 C 1.88
Mn: 0.8912 0.3333 0.6667  13 Mn 2.35-2.63
Mn: 0.5000 0.5000 0.0000  10 Mn 2.42-2.61
Mn: 0.9755 0.8282 0.1718  1 C 1.88
Mn: 0.5000 0.5000 0.5000  10 Mn 2.42-2.61
Mn: 0.5245 0.8282 0.1718  1 C 1.88
Mn: 0.0245 0.1718 0.8282  1 C 1.88
Mn: 0.2500 0.6726 0.6139  1 C 1.88
Mn: 0.4755 0.1718 0.8282  1 C 1.88
Mn: 0.0000 0.5000 0.5000  10 Mn 2.42-2.61
Mn: 0.1088 0.6667 0.3333  13 Mn 2.35-2.63
Mn: 0.2500 0.9413 0.6139  1 C 1.88
Mn: 0.7500 0.3274 0.3861  1 C 1.88
Mn: 0.6088 0.3333 0.6667  13 Mn 2.35-2.63
Mn: 0.0000 0.5000 0.0000  10 Mn 2.42-2.61
Mn: 0.7500 0.6139 0.6726  1 C 1.88
Mn: 0.2500 0.6726 0.0587  1 C 1.88
C: 0.7500 0.3270 0.1635  4 Mn 1.88
C: 0.2500 0.1635 0.3270  4 Mn 1.88
C: 0.2500 0.6730 0.8365  4 Mn 1.88
C: 0.7500 0.8365 0.1635  4 Mn 1.88
C: 0.7500 0.8365 0.6730  4 Mn 1.88
C: 0.2500 0.1635 0.8365  4 Mn 1.88
Lu: 0.7500 0.0000 0.0000  3 C 2.40
Lu: 0.7500 0.6667 0.3333  3 C 2.49
Lu: 0.2500 0.3333 0.6667  3 C 2.49
Lu: 0.2500 0.0000 0.0000  3 C 2.40

Output
Formation enthalpy at 0 K = -106.3 meV/atom

[4]
The following is a DFT calculation (PBE) of crystalline Lu10Mn13C18 at its relaxed geometry.

a = 8.5961 Å, b = 8.5961 Å, c = 8.5961 Å
α = 109.47°, β = 109.47°, γ = 109.47°
Closest atoms and distances in Å follow each position.
Sites, in units of the cell vectors:
C: 0.5693 0.5693 0.0000  1 C 1.38
C: 0.5206 0.2964 0.2964  2 Mn 1.86
C: 0.5693 0.0000 0.5693  1 C 1.38
C: 0.0000 0.5693 0.5693  1 C 1.38
C: 0.2964 0.5206 0.2964  2 Mn 1.86
C: 0.2242 0.7036 0.0000  2 Mn 1.86
C: 0.7758 0.4794 0.7758  2 Mn 1.86
C: 0.0000 0.7036 0.2242  2 Mn 1.86
C: 0.4307 0.0000 0.4307  1 C 1.38
C: 0.0000 0.4307 0.4307  1 C 1.38
C: 0.7036 0.2242 0.0000  2 Mn 1.86
C: 0.4307 0.4307 0.0000  1 C 1.38
C: 0.4794 0.7758 0.7758  2 Mn 1.86
C: 0.0000 0.2242 0.7036  2 Mn 1.86
C: 0.7036 0.0000 0.2242  2 Mn 1.86
C: 0.2242 0.0000 0.7036  2 Mn 1.86
C: 0.7758 0.7758 0.4794  2 Mn 1.86
C: 0.2964 0.2964 0.5206  2 Mn 1.86
Lu: 0.0000 0.0000 0.4118  6 C 2.52-2.60
Lu: 0.5000 0.2500 0.7500  8 C 2.41-2.58
Lu: 0.7500 0.5000 0.2500  8 C 2.41-2.58
Lu: 0.2500 0.5000 0.7500  8 C 2.41-2.58
Lu: 0.5000 0.7500 0.2500  8 C 2.41-2.58
Lu: 0.5882 0.5882 0.5882  6 C 2.52-2.60
Lu: 0.7500 0.2500 0.5000  8 C 2.41-2.58
Lu: 0.2500 0.7500 0.5000  8 C 2.41-2.58
Lu: 0.0000 0.4118 0.0000  6 C 2.52-2.60
Lu: 0.4118 0.0000 0.0000  6 C 2.52-2.60
Mn: 0.0000 0.6654 0.8198  3 C 1.86-2.03
Mn: 0.1802 0.8456 0.1802  3 C 1.86-2.03
Mn: 0.1802 0.1802 0.8456  3 C 1.86-2.03
Mn: 0.0000 0.8198 0.6654  3 C 1.86-2.03
Mn: 0.0000 0.0000 0.0000  12 Mn 2.77
Mn: 0.6654 0.8198 0.0000  3 C 1.86-2.03
Mn: 0.3346 0.1544 0.3346  3 C 1.86-2.03
Mn: 0.3346 0.3346 0.1544  3 C 1.86-2.03
Mn: 0.8456 0.1802 0.1802  3 C 1.86-2.03
Mn: 0.8198 0.6654 0.0000  3 C 1.86-2.03
Mn: 0.1544 0.3346 0.3346  3 C 1.86-2.03
Mn: 0.8198 0.0000 0.6654  3 C 1.86-2.03
Mn: 0.6654 0.0000 0.8198  3 C 1.86-2.03

Output
Formation enthalpy at 0 K = -345.0 meV/atom

[5]
The following is a DFT calculation (PBE) of crystalline Lu2Mo2C3 at its relaxed geometry.

a = 5.8589 Å, b = 5.8589 Å, c = 5.6157 Å
α = 71.63°, β = 71.63°, γ = 33.14°
Closest atoms and distances in Å follow each position.
Sites, in units of the cell vectors:
Mo: 0.1480 0.1480 0.1334  4 C 2.04-2.13
Mo: 0.8520 0.8520 0.8666  4 C 2.04-2.13
C: 0.2693 0.2693 0.7516  3 Mo 2.11-2.13, 1 Lu 2.35
C: 0.7307 0.7307 0.2484  3 Mo 2.11-2.13, 1 Lu 2.35
C: 0.0000 0.0000 0.0000  2 Mo 2.04
Lu: 0.3843 0.3843 0.3178  5 C 2.35-2.52
Lu: 0.6157 0.6157 0.6822  5 C 2.35-2.52

Output
Formation enthalpy at 0 K = -369.9 meV/atom

[6]
The following is a DFT calculation (PBE) of crystalline LuCN at its relaxed geometry.

a = 3.4886 Å, b = 3.4886 Å, c = 3.8558 Å
α = 116.90°, β = 116.90°, γ = 90.00°
Closest atoms and distances in Å follow each position.
Sites, in units of the cell vectors:
Lu: 0.6187 0.6187 0.2374  5 N 2.30-2.55, 5 C 2.34-2.55
C: 0.2246 0.2246 0.4493  1 N 1.29
N: 0.0067 0.0067 0.0134  1 C 1.29

Output
DFT total energy = -23.5 eV per cell

no.,Fermi-level density of states (states/eV per atom)
1,1.454
2,0.792
3,1.131
4,0.343
5,0.315
6,0.522